Here is a geometry-optimized Tb2PmDy4Er2 structure from Alexandria via LeMat-Bulk. Energies are from PBE.

The space group is C2/m (No. 12) and the conventional cell measures 18.590, 3.582 and 9.517 Å, with angles of 90.00, 115.70 and 90.00 degrees. The asymmetric unit holds Tb at (0.148, 0.000, 0.167), Pm at (0.000, 0.000, 0.500), Dy at (0.019, 0.500, 0.835), Dy at (0.186, 0.000, 0.834) and Er at (0.168, 0.500, 0.501).

The electronic total energy is -83.07 eV per cell.

---

Here is a geometry-optimized TbPmDyEr3 structure from Alexandria via LeMat-Bulk. Energies are from PBE.

The space group is C2/m (No. 12) and the conventional cell measures 19.594, 5.588 and 7.021 Å, with angles of 90.00, 90.10 and 90.00 degrees. The asymmetric unit holds Tb at (0.150, 0.000, 0.457), Pm at (0.145, 0.000, 0.033), Dy at (0.055, 0.500, 0.265), Er at (0.023, 0.000, 0.740), Er at (0.164, 0.500, 0.736) and Er at (0.221, 0.500, 0.244).

The electronic total energy is -105.60 eV per cell.

---

Here is a geometry-optimized Tb2PmDyEr6 structure from Alexandria via LeMat-Bulk. Energies are from PBE.

The space group is C2/c (No. 15) and the conventional cell measures 9.005, 14.957 and 9.507 Å, with angles of 90.00, 97.56 and 90.00 degrees. The asymmetric unit holds Tb at (0.249, 0.053, 0.045), Pm at (0.000, 0.024, 0.750), Dy at (0.000, 0.409, 0.250), Er at (0.064, 0.188, 0.443), Er at (0.100, 0.392, 0.619) and Er at (0.205, 0.226, 0.817).

The electronic total energy is -179.12 eV per cell.

---

Here is a geometry-optimized TbPm3Dy6Er2 structure from Alexandria via LeMat-Bulk. Energies are from PBE.

The space group is C2/m (No. 12) and the conventional cell measures 6.176, 10.692 and 11.801 Å, with angles of 90.00, 100.00 and 90.00 degrees. The asymmetric unit holds Tb at (0.000, 0.000, 0.000), Pm at (0.000, 0.167, 0.500), Pm at (0.000, 0.500, 0.500), Dy at (0.249, 0.500, 0.247), Dy at (0.250, 0.167, 0.247) and Er at (0.000, 0.333, 0.000).

The electronic total energy is -110.83 eV per cell.

---

Here is a geometry-optimized Tb2Pm4DyEr structure from Alexandria via LeMat-Bulk. Energies are from PBE.

The space group is P2/m (No. 10) and the conventional cell measures 5.088, 5.107 and 10.107 Å, with angles of 90.00, 90.05 and 90.00 degrees. The asymmetric unit holds Tb at (0.000, 0.000, 0.000), Tb at (0.500, 0.500, 0.500), Pm at (0.000, 0.500, 0.249), Pm at (0.500, 0.000, 0.250), Dy at (0.000, 0.000, 0.500) and Er at (0.500, 0.500, 0.000).

The electronic total energy is -37.31 eV per cell.

---

Here is a geometry-optimized TbPmDyEr structure from Alexandria via LeMat-Bulk. Energies are from PBE.

The space group is Pmm2 (No. 25) and the conventional cell measures 3.437, 5.623 and 6.723 Å, with angles of 90.00, 90.00 and 90.00 degrees. The asymmetric unit holds Tb at (0.000, 0.000, 0.000), Pm at (0.500, 0.500, 0.749), Dy at (0.500, 0.000, 0.495) and Er at (0.500, 0.500, 0.235).

The value obtained for the energy above the most stable polymorph in this dataset is 6.06 kJ per mole of atoms.